1.
VASP calculation (PBEsol) on a geometry-optimized Mg2Mn2Ir structure.

POSCAR file:
```
Mg2Mn2Ir
1.0
-1.099 -2.506 -1.316
-0.068 -1.388 2.700
-7.023 4.653 0.509
Ir Mg Mn
1 2 2
Direct
0.000 0.000 0.000
0.601 0.601 0.201
0.399 0.399 0.799
0.250 0.750 0.500
0.750 0.250 0.500
```

2.
VASP calculation (PBEsol) on a geometry-optimized MgMo2Ir structure.

POSCAR file:
```
MgMo2Ir
1.0
2.721 0.000 0.000
0.000 5.030 -0.009
0.000 -2.387 4.427
Ir Mg Mo
1 1 2
Direct
0.500 0.000 0.000
0.500 0.500 0.500
0.000 0.500 0.000
0.000 0.000 0.500
```

3.
VASP calculation (PBEsol) on a geometry-optimized MgMo2Ir structure.

POSCAR file:
```
MgMo2Ir
1.0
-1.008 2.701 -0.994
-1.911 -2.062 -3.664
-2.253 -0.877 4.580
Ir Mg Mo
1 1 2
Direct
0.491 0.491 0.981
0.247 0.747 0.495
0.020 0.020 0.040
0.742 0.242 0.484
```

no.,magnetic moment (μB per formula unit),energy (eV for the cell shown),ρ (g/cm3)
1,0.0,-31.118,7.74
2,0.0,-34.561,11.20
3,0.0,-34.569,11.00